No. 1
Density functional theory data (PBE-GGA) for a relaxed Pr2Tl2Hg3 crystal.

abc: 8.1575 8.1575 8.1575
angles: 109.47 109.47 109.47
Last column: nearest neighbours and their distance in Å.
Element x y z (fractional)
Pr 0.0000 0.0240 0.5000  1 Tl 3.18, 6 Hg 3.26
Pr 0.0240 0.5000 0.0000  1 Tl 3.18, 6 Hg 3.26
Pr 0.4760 0.4760 0.4760  1 Tl 3.18, 6 Hg 3.26
Pr 0.5000 0.0000 0.0240  1 Tl 3.18, 6 Hg 3.26
Tl 0.0000 0.6341 0.5000  3 Hg 3.09, 1 Pr 3.18
Tl 0.5000 0.0000 0.6341  3 Hg 3.09, 1 Pr 3.18
Tl 0.6341 0.5000 0.0000  3 Hg 3.09, 1 Pr 3.18
Tl 0.8659 0.8659 0.8659  3 Hg 3.09, 1 Pr 3.18
Hg 0.2372 0.9872 0.2500  2 Tl 3.09, 4 Pr 3.26, 4 Hg 3.42
Hg 0.2500 0.2372 0.9872  2 Tl 3.09, 4 Pr 3.26, 4 Hg 3.42
Hg 0.2628 0.5128 0.7500  2 Tl 3.09, 4 Pr 3.26, 4 Hg 3.42
Hg 0.5128 0.7500 0.2628  2 Tl 3.09, 4 Pr 3.26, 4 Hg 3.42
Hg 0.7500 0.2628 0.5128  2 Tl 3.09, 4 Pr 3.26, 4 Hg 3.42
Hg 0.9872 0.2500 0.2372  2 Tl 3.09, 4 Pr 3.26, 4 Hg 3.42

ΔE_f   -0.192 eV/atom
SG   No. 199
Crystal system   cubic

=====

No. 2
Density functional theory data (PBE-GGA) for a relaxed Dy2B2O7 crystal.

abc: 5.5655 5.5655 4.7035
angles: 101.68 101.68 108.05
Last column: nearest neighbours and their distance in Å.
Element x y z (fractional)
Dy 0.1973 0.8027 0.0000  6 O 2.22-2.36
Dy 0.8027 0.1973 0.0000  6 O 2.22-2.36
B 0.2607 0.2607 0.6356  3 O 1.41-1.43
B 0.7393 0.7393 0.3644  3 O 1.41-1.43
O 0.1124 0.3820 0.7796  1 B 1.41
O 0.1851 0.1851 0.3124  1 B 1.43
O 0.3820 0.1124 0.7796  1 B 1.41
O 0.5000 0.5000 0.5000  2 B 1.88, 2 O 1.94
O 0.6180 0.8876 0.2204  1 B 1.41
O 0.8149 0.8149 0.6876  1 B 1.43
O 0.8876 0.6180 0.2204  1 B 1.41

SG   No. 12
Uncorrected formation energy   -2.570 eV per atom
Crystal system   monoclinic

=====

No. 3
Density functional theory data (PBE-GGA) for a relaxed Tb3Cd3Hg crystal.

abc: 10.8931 10.8931 10.8931
angles: 161.44 153.86 32.26
Last column: nearest neighbours and their distance in Å.
Element x y z (fractional)
Tb 0.0000 0.0000 0.0000  7 Cd 3.23-3.27, 2 Tb 3.51
Tb 0.3994 0.3994 0.0000  5 Cd 3.23-3.30, 2 Hg 3.26, 2 Tb 3.51
Tb 0.7034 0.2034 0.5000  4 Hg 3.31, 8 Cd 3.38-3.53, 2 Tb 3.51
Cd 0.1318 0.6318 0.5000  1 Hg 2.85, 2 Cd 2.92
Cd 0.5571 0.5571 0.0000  2 Cd 2.92, 4 Tb 3.25
Cd 0.8457 0.8457 0.0000  2 Hg 2.95, 5 Tb 3.23
Hg 0.2680 0.7680 0.5000  3 Cd 2.85-2.95

ΔE_f   -0.306 eV/atom
SG   No. 44
Crystal system   orthorhombic

=====

No. 4
Density functional theory data (PBE-GGA) for a relaxed Be2NbMo crystal.

abc: 3.3438 4.8053 6.2228
angles: 90.00 90.00 90.00
Last column: nearest neighbours and their distance in Å.
Element x y z (fractional)
Be 0.0000 0.1259 0.0000  2 Be 2.09
Be 0.0000 0.8741 0.5000  2 Be 2.09
Be 0.5000 0.3682 0.0743  2 Be 2.09
Be 0.5000 0.6318 0.5743  2 Be 2.09
Nb 0.0000 0.3657 0.3692  7 Be 2.46-2.58
Nb 0.0000 0.6343 0.8692  7 Be 2.46-2.58
Mo 0.5000 0.1265 0.7119  7 Be 2.45-2.57
Mo 0.5000 0.8735 0.2119  7 Be 2.45-2.57

ΔE_f   -0.190 eV/atom
SG   No. 26
Energy above the most stable polymorph in this dataset   0 meV per atom
Crystal system   orthorhombic

=====

no.,calculated total energy (eV/atom)
1,-2.363
2,-7.776
3,-2.726
4,-7.279